## ThHg2Pd8 (PBE-GGA)

Data for a geometry-optimized ThHg2Pd8 structure.

Structure (CIF):
```
data_ThHg2Pd8
_chemical_formula_sum 'Th2 Hg4 Pd16'
_cell_length_a 7.547
_cell_length_b 14.018
_cell_length_c 4.996
_cell_angle_alpha 90.00
_cell_angle_beta 130.49
_cell_angle_gamma 90.00
_symmetry_space_group_name_H-M 'C 1 2/m 1'
_symmetry_Int_Tables_number 12
loop_
_symmetry_equiv_pos_as_xyz
'x,y,z'
'-x,-y,-z'
'-x,y,-z'
'x,-y,z'
'x+1/2,y+1/2,z'
'-x+1/2,-y+1/2,-z'
'-x+1/2,y+1/2,-z'
'x+1/2,-y+1/2,z'
loop_
_atom_site_label
_atom_site_type_symbol
_atom_site_fract_x
_atom_site_fract_y
_atom_site_fract_z
Th1 Th 0.000 0.000 0.000
Hg1 Hg 0.000 0.315 0.500
Pd1 Pd 0.000 0.194 0.000
Pd2 Pd 0.034 0.500 0.780
Pd3 Pd 0.236 0.134 0.718
```

Summary:
For the uncorrected energy, the calculation gives -4.851 eV per atom. For the density of states at the Fermi level, the calculation gives 0.28 states/eV/atom.



## YFe3Ru (PBE-GGA)

Data for a geometry-optimized YFe3Ru structure.

Structure (CIF):
```
data_YFe3Ru
_chemical_formula_sum 'Y1 Fe3 Ru1'
_cell_length_a 4.595
_cell_length_b 4.595
_cell_length_c 4.595
_cell_angle_alpha 90.00
_cell_angle_beta 90.00
_cell_angle_gamma 90.00
_symmetry_space_group_name_H-M 'P m -3 m'
_symmetry_Int_Tables_number 221
_symmetry_space_group_name_Hall '-P 4 2 3'
loop_
_atom_site_label
_atom_site_type_symbol
_atom_site_fract_x
_atom_site_fract_y
_atom_site_fract_z
Y1 Y 0.000 0.000 0.000
Fe1 Fe 0.000 0.500 0.500
Ru1 Ru 0.500 0.500 0.500
```

Summary:
For the uncorrected energy, the calculation gives -7.470 eV per atom. For the density of states at the Fermi level, the calculation gives 1.74 states/eV/atom.



## Na2SrAg9 (PBE-GGA)

Data for a geometry-optimized Na2SrAg9 structure.

Structure (CIF):
```
data_Na2SrAg9
_chemical_formula_sum 'Na6 Sr3 Ag27'
_cell_length_a 5.6643
_cell_length_b 5.6643
_cell_length_c 28.4167
_cell_angle_alpha 90.00
_cell_angle_beta 90.00
_cell_angle_gamma 120.00
_symmetry_space_group_name_H-M 'R -3 m'
_symmetry_Int_Tables_number 166
_symmetry_space_group_name_Hall '-R 3 2"'
loop_
_atom_site_label
_atom_site_type_symbol
_atom_site_fract_x
_atom_site_fract_y
_atom_site_fract_z
Na1 Na 0.0000 0.0000 0.1460
Sr1 Sr 0.0000 0.0000 0.0000
Ag1 Ag 0.0000 0.0000 0.3326
Ag2 Ag 0.0000 0.0000 0.5000
Ag3 Ag 0.0011 0.5005 0.9158
```

Summary:
For the uncorrected energy, the calculation gives -2.623 eV per atom. For the density of states at the Fermi level, the calculation gives 0.30 states/eV/atom.



## Ho2Cu15Si2 (PBE-GGA)

Data for a geometry-optimized Ho2Cu15Si2 structure.

Structure (CIF):
```
data_Ho2Cu15Si2
_chemical_formula_sum 'Ho6 Cu45 Si6'
_cell_length_a 8.5434
_cell_length_b 8.5434
_cell_length_c 12.4832
_cell_angle_alpha 90.00
_cell_angle_beta 90.00
_cell_angle_gamma 120.00
_symmetry_space_group_name_H-M 'R -3 m'
_symmetry_Int_Tables_number 166
_symmetry_space_group_name_Hall '-R 3 2"'
loop_
_atom_site_label
_atom_site_type_symbol
_atom_site_fract_x
_atom_site_fract_y
_atom_site_fract_z
Ho1 Ho 0.0000 0.0000 0.1560
Cu1 Cu 0.0000 0.3021 0.5000
Cu2 Cu 0.0000 0.5000 0.0000
Cu3 Cu 0.0004 0.5002 0.3456
Si1 Si 0.0000 0.0000 0.4027
```

Summary:
For the uncorrected energy, the calculation gives -4.427 eV per atom. For the density of states at the Fermi level, the calculation gives 0.54 states/eV/atom. The formation energy without anion corrections is -0.140 eV/atom.